Entry 1:
This record from Alexandria via LeMat-Bulk describes a relaxed structure of BaHfH2. The functional is PBE.

Values from the calculation:
V	68.8	Å³/f.u.
final energy	-15.63	eV per formula unit

a = 4.598 Å, b = 4.598 Å, c = 4.598 Å
α = 60.00°, β = 60.00°, γ = 60.00°
Fractional positions:
Ba 0.000 0.000 0.000
Hf 0.500 0.500 0.500
H 0.250 0.250 0.250
H 0.750 0.750 0.750

---

Entry 2:
This record from Alexandria via LeMat-Bulk describes a relaxed structure of BaHfH3. The functional is PBE.

Values from the calculation:
V	95.1	Å³/f.u.
final energy	-17.08	eV per formula unit

a = 4.565 Å, b = 4.565 Å, c = 4.565 Å
α = 90.00°, β = 90.00°, γ = 90.00°
Fractional positions:
Ba 0.000 0.000 0.000
Hf 0.500 0.500 0.500
H 0.000 0.000 0.500
H 0.000 0.500 0.000
H 0.500 0.000 0.000

---

Entry 3:
This record from Alexandria via LeMat-Bulk describes a relaxed structure of Ba2Li3HfH12. The functional is PBE.

Values from the calculation:
V	190.5	Å³/f.u.
final energy	-64.08	eV per formula unit

a = 6.354 Å, b = 6.354 Å, c = 6.354 Å
α = 62.26°, β = 62.26°, γ = 62.26°
Fractional positions:
Ba 0.107 0.107 0.107
Ba 0.893 0.893 0.893
Li 0.000 0.500 0.500
Li 0.500 0.000 0.500
Li 0.500 0.500 0.000
Hf 0.500 0.500 0.500
H 0.118 0.628 0.628
H 0.264 0.264 0.625
H 0.264 0.625 0.264
H 0.372 0.372 0.882
H 0.372 0.882 0.372
H 0.375 0.736 0.736
H 0.625 0.264 0.264
H 0.628 0.118 0.628
H 0.628 0.628 0.118
H 0.736 0.375 0.736
H 0.736 0.736 0.375
H 0.882 0.372 0.372

---

Entry 4:
This record from Alexandria via LeMat-Bulk describes a relaxed structure of Ba3HfH2O6. The functional is PBE.

Values from the calculation:
V	187.4	Å³/f.u.
final energy	-77.96	eV per formula unit

a = 5.652 Å, b = 5.652 Å, c = 6.774 Å
α = 90.00°, β = 90.00°, γ = 120.00°
Fractional positions:
Ba 0.000 0.000 0.000
Ba 0.333 0.667 0.665
Ba 0.667 0.333 0.335
Hf 0.000 0.000 0.500
H 0.333 0.667 0.296
H 0.667 0.333 0.704
O 0.175 0.350 0.315
O 0.175 0.825 0.315
O 0.350 0.175 0.685
O 0.650 0.825 0.315
O 0.825 0.175 0.685
O 0.825 0.650 0.685

---

Entry 5:
This record from Alexandria via LeMat-Bulk describes a relaxed structure of BaHf2HOs. The functional is PBE.

Values from the calculation:
V	90.8	Å³/f.u.
final energy	-33.60	eV per formula unit

a = 5.050 Å, b = 5.050 Å, c = 3.561 Å
α = 90.00°, β = 90.00°, γ = 90.00°
Fractional positions:
Ba 0.000 0.000 0.000
Hf 0.000 0.500 0.500
Hf 0.500 0.000 0.500
H 0.500 0.500 0.500
Os 0.500 0.500 0.000

---

Entry 6:
This record from Alexandria via LeMat-Bulk describes a relaxed structure of BaHfH2Os. The functional is PBE.

Values from the calculation:
V	106.7	Å³/f.u.
final energy	-23.48	eV per formula unit

a = 3.941 Å, b = 3.941 Å, c = 6.872 Å
α = 90.00°, β = 90.00°, γ = 90.00°
Fractional positions:
Ba 0.000 0.000 0.000
Hf 0.000 0.000 0.500
H 0.000 0.500 0.000
H 0.500 0.000 0.000
Os 0.500 0.500 0.500

---

Entry 7:
This record from Alexandria via LeMat-Bulk describes a relaxed structure of Ba2HfHPb. The functional is PBE.

Values from the calculation:
V	142.2	Å³/f.u.
final energy	-19.66	eV per formula unit

a = 4.971 Å, b = 4.971 Å, c = 5.756 Å
α = 90.00°, β = 90.00°, γ = 90.00°
Fractional positions:
Ba 0.000 0.500 0.000
Ba 0.500 0.000 0.000
Hf 0.000 0.000 0.500
H 0.500 0.500 0.000
Pb 0.500 0.500 0.500

---

Entry 8:
This record from Alexandria via LeMat-Bulk describes a relaxed structure of BaHf2HRu. The functional is PBE.

Values from the calculation:
V	143.2	Å³/f.u.
final energy	-20.57	eV per formula unit

a = 5.406 Å, b = 5.406 Å, c = 4.901 Å
α = 90.00°, β = 90.00°, γ = 90.00°
Fractional positions:
Ba 0.000 0.000 0.000
Hf 0.000 0.500 0.000
Hf 0.500 0.000 0.000
H 0.500 0.500 0.500
Ru 0.000 0.000 0.500

---

Entry 9:
This record from Alexandria via LeMat-Bulk describes a relaxed structure of BaHf2SnH. The functional is PBE.

Values from the calculation:
V	198.9	Å³/f.u.
final energy	-22.97	eV per formula unit

a = 5.378 Å, b = 5.378 Å, c = 6.877 Å
α = 90.00°, β = 90.00°, γ = 90.00°
Fractional positions:
Ba 0.000 0.000 0.000
Hf 0.000 0.500 0.500
Hf 0.500 0.000 0.500
Sn 0.000 0.000 0.500
H 0.500 0.500 0.000

---

Entry 10:
This record from Alexandria via LeMat-Bulk describes a relaxed structure of BaHfSnH2. The functional is PBE.

Values from the calculation:
V	126.7	Å³/f.u.
final energy	-18.86	eV per formula unit

a = 4.397 Å, b = 4.397 Å, c = 6.554 Å
α = 90.00°, β = 90.00°, γ = 90.00°
Fractional positions:
Ba 0.000 0.000 0.000
Hf 0.000 0.000 0.500
Sn 0.500 0.500 0.000
H 0.000 0.500 0.500
H 0.500 0.000 0.500

---

Entry 11:
This record from Alexandria via LeMat-Bulk describes a relaxed structure of Ba2HfTaH. The functional is PBE.

Values from the calculation:
V	146.1	Å³/f.u.
final energy	-23.07	eV per formula unit

a = 6.444 Å, b = 6.444 Å, c = 3.518 Å
α = 90.00°, β = 90.00°, γ = 90.00°
Fractional positions:
Ba 0.000 0.500 0.000
Ba 0.500 0.000 0.000
Hf 0.000 0.000 0.500
Ta 0.500 0.500 0.000
H 0.500 0.500 0.500

---

Entry 12:
This record from Alexandria via LeMat-Bulk describes a relaxed structure of BaHfTcH2. The functional is PBE.

Values from the calculation:
V	90.3	Å³/f.u.
final energy	-26.61	eV per formula unit

a = 4.207 Å, b = 4.207 Å, c = 5.098 Å
α = 90.00°, β = 90.00°, γ = 90.00°
Fractional positions:
Ba 0.000 0.000 0.000
Hf 0.500 0.500 0.500
Tc 0.500 0.500 0.000
H 0.000 0.500 0.500
H 0.500 0.000 0.500

---

Entry 13:
This record from Alexandria via LeMat-Bulk describes a relaxed structure of BaHg6H2. The functional is PBE.

Values from the calculation:
V	210.3	Å³/f.u.
final energy	-11.27	eV per formula unit

a = 6.079 Å, b = 6.079 Å, c = 7.366 Å
α = 90.12°, β = 90.12°, γ = 129.42°
Fractional positions:
Ba 0.000 0.000 0.000
Hg 0.129 0.871 0.500
Hg 0.318 0.678 0.786
Hg 0.322 0.682 0.214
Hg 0.678 0.318 0.786
Hg 0.682 0.322 0.214
Hg 0.871 0.129 0.500
H 0.499 0.499 0.811
H 0.501 0.501 0.189

---

Entry 14:
This record from Alexandria via LeMat-Bulk describes a relaxed structure of Ba2HgH. The functional is PBE.

Values from the calculation:
V	139.4	Å³/f.u.
final energy	-8.89	eV per formula unit

a = 7.149 Å, b = 7.149 Å, c = 5.822 Å
α = 90.00°, β = 90.00°, γ = 110.45°
Fractional positions:
Ba 0.117 0.344 0.250
Ba 0.344 0.117 0.750
Ba 0.656 0.883 0.250
Ba 0.883 0.656 0.750
Hg 0.378 0.622 0.750
Hg 0.622 0.378 0.250
H 0.000 0.000 0.000
H 0.000 0.000 0.500

---

Entry 15:
This record from Alexandria via LeMat-Bulk describes a relaxed structure of BaHg2H. The functional is PBE.

Values from the calculation:
V	102.2	Å³/f.u.
final energy	-7.31	eV per formula unit

a = 6.857 Å, b = 6.857 Å, c = 6.857 Å
α = 137.03°, β = 97.25°, γ = 98.17°
Fractional positions:
Ba 0.278 0.028 0.250
Ba 0.722 0.972 0.750
Hg 0.152 0.663 0.489
Hg 0.326 0.337 0.989
Hg 0.674 0.663 0.011
Hg 0.848 0.337 0.511
H 0.414 0.664 0.750
H 0.586 0.336 0.250

---

Entry 16:
This record from Alexandria via LeMat-Bulk describes a relaxed structure of Ba2HgH. The functional is PBE.

Values from the calculation:
V	134.8	Å³/f.u.
final energy	-8.73	eV per formula unit

a = 8.553 Å, b = 8.553 Å, c = 8.553 Å
α = 29.56°, β = 29.56°, γ = 29.56°
Fractional positions:
Ba 0.000 0.000 0.000
Ba 0.195 0.195 0.195
Hg 0.428 0.428 0.428
H 0.598 0.598 0.598

---

Entry 17:
This record from Alexandria via LeMat-Bulk describes a relaxed structure of BaHg2H. The functional is PBE.

Values from the calculation:
V	100.0	Å³/f.u.
final energy	-7.22	eV per formula unit

a = 6.189 Å, b = 6.189 Å, c = 7.058 Å
α = 90.00°, β = 90.00°, γ = 132.27°
Fractional positions:
Ba 0.193 0.807 0.500
Ba 0.807 0.193 0.000
Hg 0.101 0.899 0.998
Hg 0.497 0.503 0.259
Hg 0.503 0.497 0.759
Hg 0.899 0.101 0.498
H 0.317 0.683 0.833
H 0.683 0.317 0.333

---

Entry 18:
This record from Alexandria via LeMat-Bulk describes a relaxed structure of BaHg2H. The functional is PBE.

Values from the calculation:
V	105.0	Å³/f.u.
final energy	-7.27	eV per formula unit

a = 6.511 Å, b = 6.511 Å, c = 7.303 Å
α = 94.51°, β = 94.51°, γ = 42.91°
Fractional positions:
Ba 0.000 0.000 0.000
Ba 0.627 0.627 0.445
Hg 0.298 0.298 0.196
Hg 0.336 0.336 0.710
Hg 0.704 0.704 0.924
Hg 0.903 0.903 0.466
H 0.059 0.059 0.356
H 0.488 0.488 0.150

---

Entry 19:
This record from Alexandria via LeMat-Bulk describes a relaxed structure of BaHgH3. The functional is PBE.

Values from the calculation:
V	118.0	Å³/f.u.
final energy	-10.91	eV per formula unit

a = 4.905 Å, b = 4.905 Å, c = 4.905 Å
α = 90.00°, β = 90.00°, γ = 90.00°
Fractional positions:
Ba 0.000 0.000 0.000
Hg 0.500 0.500 0.500
H 0.000 0.000 0.500
H 0.000 0.500 0.000
H 0.500 0.000 0.000

---

Entry 20:
This record from Alexandria via LeMat-Bulk describes a relaxed structure of Ba2HgH. The functional is PBE.

Values from the calculation:
V	136.5	Å³/f.u.
final energy	-9.22	eV per formula unit

a = 7.956 Å, b = 7.956 Å, c = 6.125 Å
α = 90.00°, β = 90.00°, γ = 135.25°
Fractional positions:
Ba 0.120 0.340 0.000
Ba 0.340 0.120 0.500
Ba 0.660 0.880 0.500
Ba 0.880 0.660 0.000
Hg 0.000 0.500 0.500
Hg 0.500 0.000 0.000
H 0.000 0.000 0.250
H 0.000 0.000 0.750

---

Entry 21:
This record from Alexandria via LeMat-Bulk describes a relaxed structure of BaHgH. The functional is PBE.

Values from the calculation:
V	88.8	Å³/f.u.
final energy	-6.40	eV per formula unit

a = 4.437 Å, b = 4.437 Å, c = 5.210 Å
α = 90.00°, β = 90.00°, γ = 120.00°
Fractional positions:
Ba 0.000 0.000 0.000
Hg 0.333 0.667 0.500
H 0.667 0.333 0.000

---

Entry 22:
This record from Alexandria via LeMat-Bulk describes a relaxed structure of BaHg2H. The functional is PBE.

Values from the calculation:
V	116.1	Å³/f.u.
final energy	-6.49	eV per formula unit

a = 7.223 Å, b = 7.223 Å, c = 7.223 Å
α = 97.10°, β = 97.10°, γ = 138.85°
Fractional positions:
Ba 0.000 0.000 0.000
Ba 0.750 0.250 0.500
Hg 0.213 0.625 0.088
Hg 0.375 0.463 0.588
Hg 0.537 0.125 0.912
Hg 0.875 0.787 0.412
H 0.250 0.750 0.500
H 0.500 0.500 0.000

---

Entry 23:
This record from Alexandria via LeMat-Bulk describes a relaxed structure of Ba6Hg3H2. The functional is PBE.

Values from the calculation:
V	410.9	Å³/f.u.
final energy	-23.32	eV per formula unit

a = 13.778 Å, b = 13.778 Å, c = 13.778 Å
α = 156.64°, β = 156.64°, γ = 33.27°
Fractional positions:
Ba 0.082 0.582 0.500
Ba 0.205 0.205 0.000
Ba 0.418 0.918 0.500
Ba 0.582 0.082 0.500
Ba 0.795 0.795 0.000
Ba 0.918 0.418 0.500
Hg 0.335 0.335 0.000
Hg 0.500 0.500 0.000
Hg 0.665 0.665 0.000
H 0.103 0.103 0.000
H 0.897 0.897 0.000

---

Entry 24:
This record from Alexandria via LeMat-Bulk describes a relaxed structure of BaHg2H. The functional is PBE.

Values from the calculation:
V	106.9	Å³/f.u.
final energy	-7.25	eV per formula unit

a = 6.999 Å, b = 6.999 Å, c = 7.013 Å
α = 105.27°, β = 105.27°, γ = 40.40°
Fractional positions:
Ba 0.000 0.000 0.000
Ba 0.741 0.741 0.409
Hg 0.041 0.041 0.536
Hg 0.299 0.299 0.828
Hg 0.420 0.420 0.307
Hg 0.656 0.656 0.830
H 0.149 0.149 0.343
H 0.588 0.588 0.069